PuMnAuO6, optimized geometry, DFT PBE with a Hubbard U; density of states at the Fermi level = 9.31 states/eV per cell; total energy = -7.4996 eV/atom
1.0
5.329 0.000 0.000
-2.664 4.615 0.000
0.000 0.000 9.552
Pu Mn Au O
2 2 2 12
Cartesian
0.000 3.077 2.388
2.664 1.538 7.164
0.000 3.077 7.164
2.664 1.538 2.388
0.000 0.000 0.000
0.000 0.000 4.776
-0.916 1.681 6.104
-1.667 2.981 8.224
0.916 1.681 8.224
-0.751 4.568 6.104
1.914 0.047 1.328
0.998 1.634 3.448
1.667 2.981 6.104
0.751 4.568 8.224
3.415 0.047 3.448
1.748 2.934 1.328
4.331 1.634 1.328
3.580 2.934 3.448